## La2ErNiSn3Ir2 (PBE)

Data for a relaxed structure of La2ErNiSn3Ir2.

a = 4.0857 Å, b = 7.5002 Å, c = 7.5002 Å
α = 119.90°, β = 90.00°, γ = 90.00°
Element x y z (fractional)
Sn: 0.5000 0.2492 0.2492
Sn: 0.5000 0.7536 0.9948
Sn: 0.5000 0.9948 0.7536
Ni: 0.0000 0.9917 0.9917
La: 0.0000 0.4164 0.0012
La: 0.0000 0.0012 0.4164
Ir: 0.5000 0.6626 0.3403
Ir: 0.5000 0.3403 0.6626
Er: 0.0000 0.5902 0.5902

## Properties
The value obtained for the total energy is -6.2904 eV per atom. As for the space group: No. 38.

---

## LiErLu4Ir2 (PBE)

Data for a relaxed structure of LiErLu4Ir2.

a = 4.8329 Å, b = 4.8329 Å, c = 7.2628 Å
α = 90.00°, β = 90.00°, γ = 90.00°
Last column: magnetic moment on the atom in μB.
Element x y z (fractional)
Li: 0.5000 0.5000 0.0000  0.00
Ir: 0.5000 0.5000 0.5000  -0.01
Ir: 0.0000 0.0000 0.0000  0.01
Lu: 0.0000 0.5000 0.2320  0.06
Lu: 0.5000 0.0000 0.2320  0.04
Lu: 0.5000 0.0000 0.7680  0.04
Lu: 0.0000 0.5000 0.7680  0.06
Er: 0.0000 0.0000 0.5000  0.20

## Properties
The value obtained for the total energy is -5.7202 eV per atom. As for the space group: No. 123.

---

## ErLuIr (PBE)

Data for a relaxed structure of ErLuIr.

a = 7.1241 Å, b = 4.5252 Å, c = 8.6467 Å
α = 90.00°, β = 90.00°, γ = 90.00°
Element x y z (fractional)
Er: 0.8573 0.2500 0.9203
Er: 0.1427 0.7500 0.0797
Er: 0.6427 0.7500 0.4203
Er: 0.3573 0.2500 0.5797
Ir: 0.7416 0.7500 0.0951
Ir: 0.2584 0.2500 0.9049
Ir: 0.7584 0.2500 0.5951
Ir: 0.2416 0.7500 0.4049
Lu: 0.4902 0.2500 0.1617
Lu: 0.0098 0.7500 0.6617
Lu: 0.9902 0.2500 0.3383
Lu: 0.5098 0.7500 0.8383

## Properties
Its formation energy is -0.777 eV/atom. As for the space group: No. 62.

---

## ErLuIr (PBE)

Data for a relaxed structure of ErLuIr.

a = 7.1451 Å, b = 4.4892 Å, c = 8.6702 Å
α = 90.00°, β = 90.00°, γ = 90.00°
Element x y z (fractional)
Er: 0.4899 0.2500 0.8359
Er: 0.0101 0.7500 0.3359
Er: 0.9899 0.2500 0.6641
Er: 0.5101 0.7500 0.1641
Ir: 0.7541 0.2500 0.4044
Ir: 0.2541 0.2500 0.0956
Ir: 0.2459 0.7500 0.5956
Ir: 0.7459 0.7500 0.9044
Lu: 0.8580 0.2500 0.0776
Lu: 0.6420 0.7500 0.5776
Lu: 0.3580 0.2500 0.4224
Lu: 0.1420 0.7500 0.9224

## Properties
Its formation energy is -0.802 eV/atom. As for the space group: No. 62.

---

## ErLuIr (PBE)

Data for a relaxed structure of ErLuIr.

a = 4.6521 Å, b = 4.6521 Å, c = 4.6521 Å
α = 60.00°, β = 60.00°, γ = 60.00°
Element x y z (fractional)
Ir: 0.7500 0.7500 0.7500
Lu: 0.0000 0.0000 0.0000
Er: 0.2500 0.2500 0.2500

## Properties
Its formation energy is 0.144 eV/atom. As for the space group: No. 216.

---

## Er3Lu4Ir2S2 (PBE)

Data for a relaxed structure of Er3Lu4Ir2S2.

a = 8.7823 Å, b = 8.7823 Å, c = 8.7823 Å
α = 154.84°, β = 67.48°, γ = 118.55°
Element x y z (fractional)
Er: 0.8842 0.2642 0.6200
Er: 0.1778 0.6778 0.5000
Er: 0.6442 0.2642 0.3800
Ir: 0.0133 0.7510 0.2623
Ir: 0.4886 0.7510 0.7377
S: 0.5157 0.0157 0.5000
S: 0.9250 0.9250 0.0000
Lu: 0.5598 0.4229 0.1369
Lu: 0.8680 0.0499 0.8181
Lu: 0.2861 0.4229 0.8631
Lu: 0.2318 0.0499 0.1819

## Properties
The value obtained for the total energy is -6.3755 eV per atom. As for the space group: No. 44.

---

## ErLu6Ir2S2 (PBE)

Data for a relaxed structure of ErLu6Ir2S2.

a = 8.7314 Å, b = 8.7314 Å, c = 8.7314 Å
α = 154.73°, β = 67.41°, γ = 118.68°
Element x y z (fractional)
Lu: 0.7867 0.4240 0.3626
Lu: 0.7306 0.0491 0.6815
Lu: 0.1446 0.2651 0.8795
Lu: 0.3677 0.0491 0.3185
Lu: 0.3856 0.2651 0.1205
Lu: 0.0614 0.4240 0.6374
S: 0.4217 0.9217 0.5000
S: 0.0203 0.0203 0.0000
Ir: 0.9893 0.7500 0.2393
Ir: 0.5107 0.7500 0.7607
Er: 0.6762 0.6762 0.0000

## Properties
The value obtained for the total energy is -6.3725 eV per atom. As for the space group: No. 44.

---

## Er5Lu2Ir2Se2 (PBE)

Data for a relaxed structure of Er5Lu2Ir2Se2.

a = 8.9744 Å, b = 8.9744 Å, c = 8.9744 Å
α = 155.13°, β = 66.96°, γ = 118.95°
Element x y z (fractional)
Ir: 0.5121 0.7506 0.7615
Ir: 0.9891 0.7506 0.2385
Se: 0.0175 0.0175 0.0000
Se: 0.4228 0.9228 0.5000
Er: 0.6792 0.6792 0.0000
Er: 0.3898 0.2653 0.1245
Er: 0.0610 0.4197 0.6413
Er: 0.7785 0.4197 0.3587
Er: 0.1408 0.2653 0.8755
Lu: 0.7352 0.0519 0.6832
Lu: 0.3687 0.0519 0.3168

## Properties
The value obtained for the total energy is -6.2243 eV per atom. As for the space group: No. 44.

---

## ErLu6Ir2Se2 (PBE)

Data for a relaxed structure of ErLu6Ir2Se2.

a = 8.9096 Å, b = 8.9096 Å, c = 8.9096 Å
α = 155.13°, β = 67.02°, γ = 118.89°
Element x y z (fractional)
Lu: 0.0610 0.4196 0.6415
Lu: 0.7342 0.0510 0.6832
Lu: 0.1396 0.2648 0.8749
Lu: 0.3678 0.0510 0.3168
Lu: 0.7781 0.4196 0.3585
Lu: 0.3899 0.2648 0.1251
Se: 0.4199 0.9199 0.5000
Se: 0.0201 0.0201 0.0000
Ir: 0.9908 0.7520 0.2388
Ir: 0.5132 0.7520 0.7612
Er: 0.6801 0.6801 0.0000

## Properties
The value obtained for the total energy is -6.2136 eV per atom. As for the space group: No. 44.

---

## ErLuSn2Ir (PBE)

Data for a relaxed structure of ErLuSn2Ir.

a = 5.8323 Å, b = 5.8323 Å, c = 10.8993 Å
α = 113.75°, β = 113.75°, γ = 44.73°
Element x y z (fractional)
Lu: 0.8158 0.8158 0.8678
Lu: 0.1842 0.1842 0.1322
Ir: 0.2800 0.2800 0.6791
Ir: 0.7200 0.7200 0.3209
Sn: 0.3453 0.3453 0.4538
Sn: 0.6547 0.6547 0.5462
Sn: 0.4620 0.4620 0.1120
Sn: 0.5380 0.5380 0.8880
Er: 0.0051 0.0051 0.6744
Er: 0.9949 0.9949 0.3256

## Properties
The value obtained for the total energy is -5.9501 eV per atom. As for the space group: No. 12.

---

## Er3Lu4Te2Ir2 (PBE)

Data for a relaxed structure of Er3Lu4Te2Ir2.

a = 9.2391 Å, b = 9.2391 Å, c = 9.2391 Å
α = 155.61°, β = 66.14°, γ = 119.59°
Element x y z (fractional)
Ir: 0.9917 0.7530 0.2388
Ir: 0.5142 0.7530 0.7612
Lu: 0.3681 0.0532 0.3149
Lu: 0.3986 0.2658 0.1328
Lu: 0.1329 0.2658 0.8672
Lu: 0.7383 0.0532 0.6851
Er: 0.7678 0.4150 0.3528
Er: 0.6821 0.6821 0.0000
Er: 0.0621 0.4150 0.6472
Te: 0.4169 0.9169 0.5000
Te: 0.0218 0.0218 0.0000

## Properties
The value obtained for the total energy is -6.0132 eV per atom. As for the space group: No. 44.

---

## Er4Lu3Te2Ir2 (PBE)

Data for a relaxed structure of Er4Lu3Te2Ir2.

a = 9.2833 Å, b = 9.2833 Å, c = 9.2833 Å
α = 155.76°, β = 66.49°, γ = 119.15°
Element x y z (fractional)
Er: 0.6328 0.2644 0.3684
Er: 0.2390 0.0542 0.1848
Er: 0.8960 0.2644 0.6316
Er: 0.8694 0.0542 0.8152
Lu: 0.2663 0.4126 0.8537
Lu: 0.1840 0.6840 0.5000
Lu: 0.5589 0.4126 0.1463
Ir: 0.4925 0.7554 0.7371
Ir: 0.0183 0.7554 0.2629
Te: 0.5185 0.0185 0.5000
Te: 0.9189 0.9189 0.0000

## Properties
The value obtained for the total energy is -5.9913 eV per atom. As for the space group: No. 44.